Entry 1:
DFT (PBE-GGA) results for an optimized crystal structure of FeAg2Br.

Unit cell a=3.2770 b=4.5355 c=5.1100 alpha=90.00 beta=90.00 gamma=90.00
Sites, in units of the cell vectors:
Fe1 0.0000 0.0000 0.0000
Ag1 0.0000 0.5000 0.5000
Ag2 0.5000 0.0000 0.5000
Br1 0.5000 0.5000 0.0000

Computed properties:
As for the crystal system: orthorhombic. As for the density of states at the Fermi level: 3.94 states/eV/cell. The uncorrected formation energy is 0.52 eV per atom. For the relative energy among the computed polymorphs, the calculation gives 287 meV per atom.

=====

Entry 2:
DFT (PBE-GGA) results for an optimized crystal structure of FeAg3Br6.

Unit cell a=9.5974 b=7.4747 c=9.8243 alpha=90.00 beta=105.70 gamma=90.00
Sites, in units of the cell vectors:
Fe1 0.1809 0.0000 0.3206
Fe2 0.8191 0.5000 0.6794
Ag1 0.1479 0.1405 0.7386
Ag2 0.2801 0.6525 0.6706
Ag3 0.4609 0.1461 0.0499
Ag4 0.5391 0.6461 0.9501
Ag5 0.7199 0.1525 0.3294
Ag6 0.8521 0.6405 0.2614
Br1 0.0256 0.1270 0.4515
Br2 0.0445 0.8021 0.1493
Br3 0.2754 0.2372 0.2146
Br4 0.2828 0.8637 0.8975
Br5 0.3692 0.8419 0.4799
Br6 0.3928 0.3437 0.7846
Br7 0.6072 0.8437 0.2154
Br8 0.6308 0.3419 0.5201
Br9 0.7171 0.3637 0.1025
Br10 0.7246 0.7372 0.7854
Br11 0.9555 0.3021 0.8507
Br12 0.9744 0.6270 0.5485

Computed properties:
As for the crystal system: monoclinic. The uncorrected formation energy is -0.37 eV per atom. For the relative energy among the computed polymorphs, the calculation gives 0 meV per atom.

=====

Entry 3:
DFT (PBE-GGA) results for an optimized crystal structure of FeAg2Br.

Unit cell a=9.0410 b=9.0410 c=9.0410 alpha=20.41 beta=20.41 gamma=20.41
Sites, in units of the cell vectors:
Fe1 0.0000 0.0000 0.0000
Ag1 0.4926 0.4926 0.4926
Ag2 0.7433 0.7433 0.7433
Br1 0.2691 0.2691 0.2691

Computed properties:
As for the crystal system: trigonal. As for the density of states at the Fermi level: 3.00 states/eV/cell. The uncorrected formation energy is 0.26 eV per atom. For the relative energy among the computed polymorphs, the calculation gives 33 meV per atom.

=====

Entry 4:
DFT (PBE-GGA) results for an optimized crystal structure of FeAg2Br.

Unit cell a=6.6667 b=6.6667 c=6.6667 alpha=153.35 beta=143.11 gamma=46.09
Sites, in units of the cell vectors:
Fe1 0.0000 0.0000 0.0000
Ag1 0.2011 0.7011 0.5000
Ag2 0.7989 0.2989 0.5000
Br1 0.5000 0.5000 0.0000

Computed properties:
As for the crystal system: orthorhombic. As for the density of states at the Fermi level: 2.78 states/eV/cell. The uncorrected formation energy is 0.43 eV per atom. For the relative energy among the computed polymorphs, the calculation gives 207 meV per atom.

=====

Entry 5:
DFT (PBE-GGA) results for an optimized crystal structure of FeAg2Br.

Unit cell a=4.7328 b=4.7328 c=4.7328 alpha=60.00 beta=60.00 gamma=60.00
Sites, in units of the cell vectors:
Fe1 0.0000 0.0000 0.0000
Ag1 0.5000 0.5000 0.5000
Ag2 0.7500 0.7500 0.7500
Br1 0.2500 0.2500 0.2500

Computed properties:
As for the crystal system: cubic. As for the density of states at the Fermi level: 3.87 states/eV/cell. The uncorrected formation energy is 0.61 eV per atom. For the relative energy among the computed polymorphs, the calculation gives 379 meV per atom.

=====

Entry 6:
DFT (PBE-GGA) results for an optimized crystal structure of FeAgBr.

Unit cell a=3.2828 b=3.2828 c=6.5151 alpha=90.00 beta=90.00 gamma=120.00
Sites, in units of the cell vectors:
Fe1 0.0000 0.0000 0.0000
Ag1 0.3333 0.6667 0.3008
Br1 0.6667 0.3333 0.7422

Computed properties:
As for the crystal system: trigonal. As for the density of states at the Fermi level: 2.62 states/eV/cell. The uncorrected formation energy is 0.28 eV per atom. For the relative energy among the computed polymorphs, the calculation gives 0 meV per atom.

=====

Entry 7:
DFT (PBE-GGA) results for an optimized crystal structure of GaFeAgBr2.

Unit cell a=5.4692 b=5.4692 c=4.8444 alpha=90.00 beta=90.00 gamma=90.00
Sites, in units of the cell vectors:
Ga1 0.0000 0.0000 0.0000
Fe1 0.0000 0.0000 0.5000
Ag1 0.5000 0.5000 0.5000
Br1 0.0000 0.5000 0.0000
Br2 0.5000 0.0000 0.0000

Computed properties:
As for the crystal system: tetragonal. As for the density of states at the Fermi level: 3.66 states/eV/cell. The uncorrected formation energy is 0.58 eV per atom.

=====

Entry 8:
DFT (PBE-GGA) results for an optimized crystal structure of FeAg2HBr.

Unit cell a=3.8516 b=3.8516 c=5.9515 alpha=90.00 beta=90.00 gamma=90.00
Sites, in units of the cell vectors:
Fe1 0.0000 0.0000 0.0000
Ag1 0.0000 0.5000 0.5000
Ag2 0.5000 0.0000 0.5000
H1 0.5000 0.5000 0.5000
Br1 0.5000 0.5000 0.0000

Computed properties:
As for the crystal system: tetragonal. As for the density of states at the Fermi level: 4.66 states/eV/cell. The calculation puts the energy at -16.79 eV per cell.

=====

Entry 9:
DFT (PBE-GGA) results for an optimized crystal structure of Fe2AgI6Br2.

Unit cell a=7.2278 b=7.2278 c=10.0998 alpha=90.00 beta=90.00 gamma=120.00
Sites, in units of the cell vectors:
Fe1 0.3333 0.6667 0.2414
Fe2 0.6667 0.3333 0.7586
Ag1 0.0000 0.0000 0.5000
I1 0.0005 0.3324 0.6764
I2 0.9995 0.6676 0.3236
I3 0.3319 0.9995 0.6764
I4 0.3324 0.3319 0.3236
I5 0.6681 0.0005 0.3236
I6 0.6676 0.6681 0.6764
Br1 0.3333 0.6667 0.0146
Br2 0.6667 0.3333 0.9854

Computed properties:
As for the crystal system: trigonal. As for the density of states at the Fermi level: 5.78 states/eV/cell. The uncorrected formation energy is -0.20 eV per atom.

=====

Entry 10:
DFT (PBE-GGA) results for an optimized crystal structure of KFeAgBr5.

Unit cell a=8.1172 b=8.1172 c=9.2865 alpha=102.02 beta=102.02 gamma=105.31
Sites, in units of the cell vectors:
K1 0.1594 0.8406 0.7500
K2 0.8406 0.1594 0.2500
Fe1 0.1701 0.8299 0.2500
Fe2 0.8299 0.1701 0.7500
Ag1 0.5000 0.5000 0.0000
Ag2 0.5000 0.5000 0.5000
Br1 0.0981 0.2271 0.9400
Br2 0.1520 0.5979 0.3695
Br3 0.2271 0.0981 0.4400
Br4 0.4021 0.8480 0.1305
Br5 0.4145 0.5855 0.7500
Br6 0.5855 0.4145 0.2500
Br7 0.5979 0.1520 0.8695
Br8 0.7729 0.9019 0.5600
Br9 0.8480 0.4021 0.6305
Br10 0.9019 0.7729 0.0600

Computed properties:
As for the crystal system: monoclinic. The uncorrected formation energy is -0.78 eV per atom.

=====

Entry 11:
DFT (PBE-GGA) results for an optimized crystal structure of KFe2AgBr6.

Unit cell a=9.9122 b=9.9122 c=7.6257 alpha=103.80 beta=103.80 gamma=88.82
Sites, in units of the cell vectors:
K1 0.1194 0.8806 0.7500
K2 0.8806 0.1194 0.2500
Fe1 0.2345 0.3795 0.7928
Fe2 0.3795 0.2345 0.2928
Fe3 0.6205 0.7655 0.7072
Fe4 0.7655 0.6205 0.2072
Ag1 0.2347 0.7653 0.2500
Ag2 0.7653 0.2347 0.7500
Br1 0.0472 0.2028 0.6856
Br2 0.1407 0.6016 0.9185
Br3 0.2028 0.0472 0.1856
Br4 0.3129 0.4225 0.5257
Br5 0.3984 0.8593 0.5815
Br6 0.4225 0.3129 0.0257
Br7 0.5775 0.6871 0.9743
Br8 0.6016 0.1407 0.4185
Br9 0.6871 0.5775 0.4743
Br10 0.7972 0.9528 0.8144
Br11 0.8593 0.3984 0.0815
Br12 0.9528 0.7972 0.3144

Computed properties:
As for the crystal system: monoclinic. As for the density of states at the Fermi level: 23.81 states/eV/cell. The uncorrected formation energy is -0.63 eV per atom.

=====

Entry 12:
DFT (PBE-GGA) results for an optimized crystal structure of KFe2AgBr8.

Unit cell a=6.8820 b=6.8820 c=9.8197 alpha=90.00 beta=90.00 gamma=120.00
Sites, in units of the cell vectors:
K1 0.0000 0.0000 0.0000
Fe1 0.3333 0.6667 0.7514
Fe2 0.6667 0.3333 0.2486
Ag1 0.0000 0.0000 0.5000
Br1 0.0101 0.3336 0.6796
Br2 0.3236 0.9899 0.6796
Br3 0.3333 0.6667 0.9907
Br4 0.3336 0.3236 0.3204
Br5 0.6664 0.6764 0.6796
Br6 0.6667 0.3333 0.0093
Br7 0.6764 0.0101 0.3204
Br8 0.9899 0.6664 0.3204

Computed properties:
As for the crystal system: trigonal. The uncorrected formation energy is -0.68 eV per atom.

=====

Values of total magnetization, in order: 3.3 10.0 3.3 3.1 2.8 3.3 3.7 3.4 9.0 10.0 16.0 10.0, all in Bohr magnetons per cell.